Record 1
DFT (PBEsol) results for crystalline YCu2Pt at its relaxed geometry.

Lattice parameters (Å, degrees): 4.4692 4.4692 4.4692 60.00 60.00 60.00
Closest atoms and distances in Å follow each position.
Fractional coordinates of all 4 atoms:
1 Y 0.0000 0.0000 0.0000  8 Cu 2.74
2 Cu 0.2500 0.2500 0.2500  4 Pt 2.74, 4 Y 2.74
3 Cu 0.7500 0.7500 0.7500  4 Pt 2.74, 4 Y 2.74
4 Pt 0.5000 0.5000 0.5000  8 Cu 2.74

## Properties
size of the total moment	0.00	Bohr magnetons per cell
total DFT energy (no corrections)	-6.03	eV/atom


Record 2
DFT (PBEsol) results for crystalline YCuPt2 at its relaxed geometry.

Lattice parameters (Å, degrees): 5.0460 5.0460 5.0460 133.90 133.90 67.24
Closest atoms and distances in Å follow each position.
Fractional coordinates of all 4 atoms:
1 Y 0.0000 0.0000 0.0000  8 Pt 2.79-2.88, 4 Cu 2.88
2 Cu 0.2500 0.7500 0.5000  8 Pt 2.79-2.88, 4 Y 2.88
3 Pt 0.5000 0.5000 0.0000  4 Y 2.79, 4 Cu 2.88, 4 Pt 2.88
4 Pt 0.7500 0.2500 0.5000  4 Cu 2.79, 4 Pt 2.88, 4 Y 2.88

## Properties
size of the total moment	0.00	Bohr magnetons per cell
total DFT energy (no corrections)	-6.99	eV/atom


Record 3
DFT (PBEsol) results for crystalline Y2CuPt at its relaxed geometry.

Lattice parameters (Å, degrees): 4.8558 4.8558 4.8558 60.00 60.00 60.00
Closest atoms and distances in Å follow each position.
Fractional coordinates of all 4 atoms:
1 Y 0.2500 0.2500 0.2500  4 Cu 2.97, 4 Pt 2.97
2 Y 0.7500 0.7500 0.7500  4 Cu 2.97, 4 Pt 2.97
3 Cu 0.0000 0.0000 0.0000  8 Y 2.97
4 Pt 0.5000 0.5000 0.5000  8 Y 2.97

## Properties
size of the total moment	0.00	Bohr magnetons per cell
total DFT energy (no corrections)	-6.96	eV/atom


Record 4
DFT (PBEsol) results for crystalline ZnCu2Pt at its relaxed geometry.

Lattice parameters (Å, degrees): 4.1700 4.1700 4.1700 60.00 60.00 60.00
Closest atoms and distances in Å follow each position.
Fractional coordinates of all 4 atoms:
1 Zn 0.0000 0.0000 0.0000  4 Pt 2.55, 4 Cu 2.55
2 Cu 0.2500 0.2500 0.2500  4 Cu 2.55, 4 Zn 2.55
3 Cu 0.5000 0.5000 0.5000  4 Cu 2.55, 4 Pt 2.55
4 Pt 0.7500 0.7500 0.7500  4 Cu 2.55, 4 Zn 2.55

## Properties
size of the total moment	0.00	Bohr magnetons per cell
total DFT energy (no corrections)	-4.53	eV/atom


Record 5
DFT (PBEsol) results for crystalline ZnCu2Pt at its relaxed geometry.

Lattice parameters (Å, degrees): 4.5535 4.5535 4.5535 131.97 131.97 70.27
Closest atoms and distances in Å follow each position.
Fractional coordinates of all 4 atoms:
1 Zn 0.0000 0.0000 0.0000  4 Pt 2.62, 8 Cu 2.63
2 Cu 0.2500 0.7500 0.5000  4 Cu 2.62, 4 Pt 2.63, 4 Zn 2.63
3 Cu 0.7500 0.2500 0.5000  4 Cu 2.62, 4 Pt 2.63, 4 Zn 2.63
4 Pt 0.5000 0.5000 0.0000  4 Zn 2.62, 8 Cu 2.63

## Properties
size of the total moment	0.00	Bohr magnetons per cell
total DFT energy (no corrections)	-4.54	eV/atom


Record 6
DFT (PBEsol) results for crystalline ZnCu2Pt at its relaxed geometry.

Lattice parameters (Å, degrees): 4.8988 4.8988 4.8988 145.75 128.88 62.98
Closest atoms and distances in Å follow each position.
Fractional coordinates of all 4 atoms:
1 Zn 0.0000 0.0000 0.0000  6 Cu 2.47-2.56, 2 Pt 2.60
2 Cu 0.2405 0.7405 0.5000  2 Cu 2.46, 2 Zn 2.47, 4 Pt 2.56
3 Cu 0.4790 0.4790 0.0000  2 Cu 2.46, 4 Zn 2.56, 2 Pt 2.63
4 Pt 0.7416 0.2416 0.5000  6 Cu 2.56-2.63, 2 Zn 2.60

## Properties
size of the total moment	0.00	Bohr magnetons per cell
total DFT energy (no corrections)	-4.51	eV/atom